No. 1
This record from the Alexandria database describes a geometry-optimized RbAgPb structure. The functional is PBE.

Properties
DOS(E_F): 0.189 states/eV per atom
crystal system: tetragonal
electronic total energy: -2.4998 eV/atom

Lattice parameters (Å, degrees): 3.9457 3.9457 13.2646 90.00 90.00 90.00
With the nearest neighbours (Å) after each atom.
Space group I4mm (No. 107)
One atom of each set of equivalent atoms:
Rb  0.0000  0.0000  0.0000 (multiplicity 2)  5 Pb 3.80-3.97, 5 Ag 3.88-3.92, 4 Rb 3.95
Ag  0.0000  0.0000  0.2926 (multiplicity 2)  4 Pb 2.98
Pb  0.0000  0.0000  0.7134 (multiplicity 2)  4 Ag 2.98

***

No. 2
This record from the Alexandria database describes a geometry-optimized Ac2Mg3Co2 structure. The functional is PBE.

Properties
DOS(E_F): 0.676 states/eV per atom
crystal system: monoclinic
electronic total energy: -3.8929 eV/atom

Lattice parameters (Å, degrees): 11.0001 4.3182 7.3453 90.00 97.92 90.00
With the nearest neighbours (Å) after each atom.
Space group C2/m (No. 12)
One atom of each set of equivalent atoms:
Ac  0.1293  0.0000  0.3558 (multiplicity 4)  5 Co 3.03-3.37
Mg  0.0000  0.5000  0.0000 (multiplicity 2)  2 Co 2.85, 4 Mg 3.13
Mg  0.1694  0.0000  0.8560 (multiplicity 4)  2 Co 2.84, 2 Mg 3.13
Co  0.0635  0.5000  0.6369 (multiplicity 4)  1 Co 2.28